## Tc2AgRh (GGA-PBE)

Data for an optimized crystal structure of Tc2AgRh.

a = 4.4288 Å, b = 4.4288 Å, c = 4.4288 Å
α = 60.00°, β = 60.00°, γ = 60.00°
Last column: magnetic moment on the atom in μB.
Sites, in units of the cell vectors:
Rh 0.0000 0.0000 0.0000  0.34
Tc 0.2500 0.2500 0.2500  0.23
Tc 0.7500 0.7500 0.7500  0.23
Ag 0.5000 0.5000 0.5000  0.01

Output
N(E_F) ... 6.60 states/eV/f.u.
E above lowest polymorph ... 0.604 eV per atom
Theoretical density ... 10.997 g/cm³
Symmetry ... Fm-3m (225)
Total DFT energy (no corrections) ... -28.0 eV/cell
ΔH_f (0 K) ... 0.727 eV/atom

=====

## Tc2AgRh (GGA-PBE)

Data for an optimized crystal structure of Tc2AgRh.

a = 2.7664 Å, b = 2.7664 Å, c = 7.9753 Å
α = 90.00°, β = 90.00°, γ = 90.00°
Sites, in units of the cell vectors:
Ag 0.0000 0.0000 0.5017
Rh 0.5000 0.5000 0.7685
Tc 0.0000 0.0000 0.0016
Tc 0.5000 0.5000 0.2283

Output
N(E_F) ... 4.64 states/eV/f.u.
E above lowest polymorph ... 0.065 eV per atom
Theoretical density ... 11.067 g/cm³
Symmetry ... P4mm (99)
Total DFT energy (no corrections) ... -30.2 eV/cell
ΔH_f (0 K) ... 0.187 eV/atom

=====

## TcAg2Rh (GGA-PBE)

Data for an optimized crystal structure of TcAg2Rh.

a = 2.7923 Å, b = 4.6868 Å, c = 4.9479 Å
α = 90.00°, β = 90.00°, γ = 90.00°
Last column: magnetic moment on the atom in μB.
Sites, in units of the cell vectors:
Ag 0.0000 0.0000 0.0000  0.02
Ag 0.5000 0.5000 0.0000  0.02
Rh 0.5000 0.0000 0.5000  0.19
Tc 0.0000 0.5000 0.5000  0.70

Output
N(E_F) ... 5.49 states/eV/f.u.
E above lowest polymorph ... 0.315 eV per atom
Theoretical density ... 10.684 g/cm³
Symmetry ... Pmmm (47)
Total DFT energy (no corrections) ... -21.5 eV/cell
ΔH_f (0 K) ... 0.480 eV/atom

=====

## TcAgRh2 (GGA-PBE)

Data for an optimized crystal structure of TcAgRh2.

a = 4.7556 Å, b = 4.7556 Å, c = 4.8891 Å
α = 81.37°, β = 81.37°, γ = 33.29°
Sites, in units of the cell vectors:
Ag 0.2500 0.2500 0.2500
Rh 0.0038 0.0038 0.9852
Rh 0.4962 0.4962 0.5148
Tc 0.7500 0.7500 0.7500

Output
N(E_F) ... 5.13 states/eV/f.u.
E above lowest polymorph ... 0.205 eV per atom
Theoretical density ... 11.406 g/cm³
Symmetry ... C2/m (12)
Total DFT energy (no corrections) ... -27.0 eV/cell
ΔH_f (0 K) ... 0.222 eV/atom

=====

## TcAg2Rh (GGA-PBE)

Data for an optimized crystal structure of TcAg2Rh.

a = 3.8846 Å, b = 2.7870 Å, c = 6.5610 Å
α = 64.82°, β = 90.00°, γ = 90.00°
Sites, in units of the cell vectors:
Ag 0.0000 0.0003 0.9998
Ag 0.5000 0.2506 0.2493
Rh 0.0000 0.4665 0.5333
Tc 0.5000 0.7825 0.7175

Output
N(E_F) ... 3.29 states/eV/f.u.
E above lowest polymorph ... 0.104 eV per atom
Theoretical density ... 10.763 g/cm³
Symmetry ... Pmm2 (25)
Total DFT energy (no corrections) ... -22.3 eV/cell
ΔH_f (0 K) ... 0.269 eV/atom

=====

## Tc2AgRh (GGA-PBE)

Data for an optimized crystal structure of Tc2AgRh.

a = 7.2110 Å, b = 7.2110 Å, c = 5.7224 Å
α = 50.95°, β = 50.95°, γ = 90.00°
Sites, in units of the cell vectors:
Rh 0.5000 0.5000 0.0000
Rh 0.2500 0.7500 0.5000
Tc 0.5885 0.1250 0.2500
Tc 0.1615 0.6250 0.2500
Tc 0.3750 0.4115 0.7500
Tc 0.8750 0.8385 0.7500
Ag 0.0000 0.0000 0.0000
Ag 0.7500 0.2500 0.5000

Output
N(E_F) ... 5.86 states/eV/f.u.
E above lowest polymorph ... 0.762 eV per atom
Theoretical density ... 10.002 g/cm³
Symmetry ... I-42d (122)
Total DFT energy (no corrections) ... -54.8 eV/cell
ΔH_f (0 K) ... 0.885 eV/atom

=====

## TcAg2Rh (GGA-PBE)

Data for an optimized crystal structure of TcAg2Rh.

a = 4.8263 Å, b = 4.8263 Å, c = 4.8263 Å
α = 130.54°, β = 130.54°, γ = 72.54°
Last column: magnetic moment on the atom in μB.
Sites, in units of the cell vectors:
Ag 0.0000 0.0000 0.0000  0.04
Ag 0.2500 0.7500 0.5000  0.01
Rh 0.5000 0.5000 0.0000  0.17
Tc 0.7500 0.2500 0.5000  0.96

Output
N(E_F) ... 3.73 states/eV/f.u.
E above lowest polymorph ... 0.324 eV per atom
Theoretical density ... 10.904 g/cm³
Symmetry ... I-4m2 (119)
Total DFT energy (no corrections) ... -21.5 eV/cell
ΔH_f (0 K) ... 0.489 eV/atom

=====

## TcAg2Rh (GGA-PBE)

Data for an optimized crystal structure of TcAg2Rh.

a = 4.4047 Å, b = 3.8520 Å, c = 3.8520 Å
α = 90.00°, β = 90.00°, γ = 90.00°
Last column: magnetic moment on the atom in μB.
Sites, in units of the cell vectors:
Ag 0.0000 0.0000 0.0000  0.07
Ag 0.0000 0.5000 0.5000  0.07
Rh 0.5000 0.5000 0.0000  0.66
Tc 0.5000 0.0000 0.5000  2.08

Output
N(E_F) ... 4.02 states/eV/f.u.
E above lowest polymorph ... 0.383 eV per atom
Theoretical density ... 10.586 g/cm³
Symmetry ... P4/mmm (123)
Total DFT energy (no corrections) ... -21.2 eV/cell
ΔH_f (0 K) ... 0.548 eV/atom

=====

## Tc2AgRh2 (GGA-PBE)

Data for an optimized crystal structure of Tc2AgRh2.

a = 7.5973 Å, b = 7.5973 Å, c = 2.7341 Å
α = 90.00°, β = 90.00°, γ = 90.00°
Sites, in units of the cell vectors:
Rh 0.1713 0.6713 0.5000
Rh 0.6713 0.8287 0.5000
Rh 0.8287 0.3287 0.5000
Rh 0.3287 0.1713 0.5000
Tc 0.3819 0.8819 0.0000
Tc 0.8819 0.6181 0.0000
Tc 0.6181 0.1181 0.0000
Tc 0.1181 0.3819 0.0000
Ag 0.0000 0.0000 0.0000
Ag 0.5000 0.5000 0.0000

Output
N(E_F) ... 5.31 states/eV/f.u.
E above lowest polymorph ... 0.000 eV per atom
Theoretical density ... 10.726 g/cm³
Symmetry ... P4/mbm (127)
Total DFT energy (no corrections) ... -74.6 eV/cell
ΔH_f (0 K) ... 0.197 eV/atom

=====

## TcAgRh2 (GGA-PBE)

Data for an optimized crystal structure of TcAgRh2.

a = 4.8252 Å, b = 4.8252 Å, c = 4.7876 Å
α = 80.09°, β = 80.09°, γ = 33.25°
Sites, in units of the cell vectors:
Ag 0.2510 0.2510 0.2395
Rh 0.0069 0.0069 0.0018
Rh 0.7511 0.7511 0.7321
Tc 0.4910 0.4910 0.5266

Output
N(E_F) ... 6.12 states/eV/f.u.
E above lowest polymorph ... 0.221 eV per atom
Theoretical density ... 11.370 g/cm³
Symmetry ... Cm (8)
Total DFT energy (no corrections) ... -27.0 eV/cell
ΔH_f (0 K) ... 0.238 eV/atom

=====

## TcAg3Rh (GGA-PBE)

Data for an optimized crystal structure of TcAg3Rh.

a = 4.9675 Å, b = 4.9675 Å, c = 4.9675 Å
α = 90.00°, β = 90.00°, γ = 90.00°
Last column: magnetic moment on the atom in μB.
Sites, in units of the cell vectors:
Rh 0.0000 0.0000 0.0000  0.71
Tc 0.5000 0.5000 0.5000  3.66
Ag 0.0000 0.5000 0.0000  0.03
Ag 0.0000 0.0000 0.5000  0.06
Ag 0.5000 0.0000 0.0000  0.00

Output
N(E_F) ... 4.36 states/eV/f.u.
E above lowest polymorph ... 0.000 eV per atom
Theoretical density ... 7.105 g/cm³
Symmetry ... Pm-3m (221)
Total DFT energy (no corrections) ... -18.2 eV/cell
ΔH_f (0 K) ... 1.623 eV/atom

=====

## TcAg2Rh (GGA-PBE)

Data for an optimized crystal structure of TcAg2Rh.

a = 4.4845 Å, b = 4.4845 Å, c = 4.4845 Å
α = 60.00°, β = 60.00°, γ = 60.00°
Last column: magnetic moment on the atom in μB.
Sites, in units of the cell vectors:
Rh 0.5000 0.5000 0.5000  -0.03
Tc 0.0000 0.0000 0.0000  0.29
Ag 0.2500 0.2500 0.2500  0.00
Ag 0.7500 0.7500 0.7500  0.00

Output
N(E_F) ... 4.56 states/eV/f.u.
E above lowest polymorph ... 0.565 eV per atom
Theoretical density ... 10.849 g/cm³
Symmetry ... Fm-3m (225)
Total DFT energy (no corrections) ... -20.5 eV/cell
ΔH_f (0 K) ... 0.729 eV/atom